First-principles (PBE-GGA) data for an optimized crystal structure of Pm6Ho8Mg, as listed in the Alexandria database.

```
data_Pm6Ho8Mg
_cell_length_a 9.4760
_cell_length_b 9.4760
_cell_length_c 6.2747
_cell_angle_alpha 90.00
_cell_angle_beta 90.00
_cell_angle_gamma 120.00
_symmetry_space_group_name_H-M 'P -3'
_symmetry_Int_Tables_number 147
_symmetry_space_group_name_Hall '-P 3'
loop_
_atom_site_label
_atom_site_type_symbol
_atom_site_fract_x
_atom_site_fract_y
_atom_site_fract_z
_atom_site_occupancy
Pm1 Pm 0.0893 0.6383 0.3122 1
Ho1 Ho 0.0385 0.7734 0.8113 1
Ho2 Ho 0.3333 0.6667 0.8245 1
Mg1 Mg 0.0000 0.0000 0.5000 1
```

Properties
Its volume is 488 Å³/f.u. The raw total energy comes out at -4.32 eV/atom. The calculation puts the formation energy at 0.129 eV/atom. The magnetization is 0.00 μB per formula unit.

---

First-principles (PBE-GGA) data for an optimized crystal structure of Ce2HoRu3, as listed in the Alexandria database.

```
data_Ce2HoRu3
_cell_length_a 15.4513
_cell_length_b 5.6652
_cell_length_c 5.9162
_cell_angle_alpha 90.00
_cell_angle_beta 110.08
_cell_angle_gamma 90.00
_symmetry_space_group_name_H-M 'C 1 2/c 1'
_symmetry_Int_Tables_number 15
_symmetry_space_group_name_Hall '-C 2yc'
loop_
_atom_site_label
_atom_site_type_symbol
_atom_site_fract_x
_atom_site_fract_y
_atom_site_fract_z
_atom_site_occupancy
Ce1 Ce 0.1741 0.0848 0.1057 1
Ho1 Ho 0.0000 0.3427 0.2500 1
Ru1 Ru 0.0000 0.1452 0.7500 1
Ru2 Ru 0.1626 0.4346 0.6436 1
```

Properties
Its volume is 122 Å³/f.u. The calculation puts the energy above the most stable polymorph in this dataset at 0.0824 eV/atom. The raw total energy comes out at -7.65 eV/atom. The calculation puts the formation energy at -0.272 eV/atom. The magnetization is 0.00 μB per formula unit.

---

First-principles (PBE-GGA) data for an optimized crystal structure of Pr12Ge6Pb, as listed in the Alexandria database.

```
data_Pr12Ge6Pb
_cell_length_a 10.4694
_cell_length_b 10.4694
_cell_length_c 10.4694
_cell_angle_alpha 90.00
_cell_angle_beta 90.00
_cell_angle_gamma 90.00
_symmetry_space_group_name_H-M 'I m -3'
_symmetry_Int_Tables_number 204
_symmetry_space_group_name_Hall '-I 2 2 3'
loop_
_atom_site_label
_atom_site_type_symbol
_atom_site_fract_x
_atom_site_fract_y
_atom_site_fract_z
_atom_site_occupancy
Pr1 Pr 0.0000 0.2958 0.1877 1
Ge1 Ge 0.0000 0.1187 0.5000 1
Pb1 Pb 0.0000 0.0000 0.0000 1
```

Properties
Its volume is 574 Å³/f.u. The raw total energy comes out at -5.26 eV/atom. The calculation puts the formation energy at -0.585 eV/atom. The magnetization is 0.00 μB per formula unit.

---

First-principles (PBE-GGA) data for an optimized crystal structure of TaHgAs2, as listed in the Alexandria database.

```
data_TaHgAs2
_cell_length_a 4.2664
_cell_length_b 4.2664
_cell_length_c 8.3173
_cell_angle_alpha 90.00
_cell_angle_beta 90.00
_cell_angle_gamma 90.00
_symmetry_space_group_name_H-M 'I 4/m m m'
_symmetry_Int_Tables_number 139
_symmetry_space_group_name_Hall '-I 4 2'
loop_
_atom_site_label
_atom_site_type_symbol
_atom_site_fract_x
_atom_site_fract_y
_atom_site_fract_z
_atom_site_occupancy
Ta1 Ta 0.0000 0.0000 0.0000 1
Hg1 Hg 0.0000 0.0000 0.5000 1
As1 As 0.0000 0.5000 0.2500 1
```

Properties
Its volume is 76 Å³/f.u. The raw total energy comes out at -4.98 eV/atom. The calculation puts the formation energy at 0.385 eV/atom. The magnetization is 0.00 μB per formula unit.

---

First-principles (PBE-GGA) data for an optimized crystal structure of Pu6Ge3C, as listed in the Alexandria database.

```
data_Pu6Ge3C
_cell_length_a 10.4692
_cell_length_b 6.0489
_cell_length_c 7.0920
_cell_angle_alpha 90.00
_cell_angle_beta 102.09
_cell_angle_gamma 90.00
_symmetry_space_group_name_H-M 'C 1 2/m 1'
_symmetry_Int_Tables_number 12
_symmetry_space_group_name_Hall '-C 2y'
loop_
_atom_site_label
_atom_site_type_symbol
_atom_site_fract_x
_atom_site_fract_y
_atom_site_fract_z
_atom_site_occupancy
Pu1 Pu 0.1181 0.2336 0.3623 1
Pu2 Pu 0.1322 0.5000 0.8558 1
Ge1 Ge 0.0000 0.0000 0.0000 1
Ge2 Ge 0.1605 0.0000 0.7436 1
C1 C 0.0000 0.5000 0.5000 1
```

Properties
Its volume is 220 Å³/f.u. The raw total energy comes out at -11.06 eV/atom. The calculation puts the formation energy at -0.157 eV/atom. The magnetization is 9.54 μB per formula unit.

---

First-principles (PBE-GGA) data for an optimized crystal structure of LiYLuTl, as listed in the Alexandria database.

```
data_LiYLuTl
_cell_length_a 7.4040
_cell_length_b 7.4040
_cell_length_c 7.4040
_cell_angle_alpha 90.00
_cell_angle_beta 90.00
_cell_angle_gamma 90.00
_symmetry_space_group_name_H-M 'F -4 3 m'
_symmetry_Int_Tables_number 216
_symmetry_space_group_name_Hall 'F -4 2 3'
loop_
_atom_site_label
_atom_site_type_symbol
_atom_site_fract_x
_atom_site_fract_y
_atom_site_fract_z
_atom_site_occupancy
Li1 Li 0.0000 0.0000 0.0000 1
Y1 Y 0.2500 0.2500 0.2500 1
Lu1 Lu 0.2500 0.2500 0.7500 1
Tl1 Tl 0.0000 0.0000 0.5000 1
```

Properties
Its volume is 101 Å³/f.u. The raw total energy comes out at -4.01 eV/atom. The calculation puts the formation energy at -0.193 eV/atom. The magnetization is 0.00 μB per formula unit.

---

First-principles (PBE-GGA) data for an optimized crystal structure of PrAlZnPd, as listed in the Alexandria database.

```
data_PrAlZnPd
_cell_length_a 6.8256
_cell_length_b 6.8256
_cell_length_c 6.8256
_cell_angle_alpha 90.00
_cell_angle_beta 90.00
_cell_angle_gamma 90.00
_symmetry_space_group_name_H-M 'F -4 3 m'
_symmetry_Int_Tables_number 216
_symmetry_space_group_name_Hall 'F -4 2 3'
loop_
_atom_site_label
_atom_site_type_symbol
_atom_site_fract_x
_atom_site_fract_y
_atom_site_fract_z
_atom_site_occupancy
Pr1 Pr 0.0000 0.0000 0.0000 1
Al1 Al 0.0000 0.0000 0.5000 1
Zn1 Zn 0.2500 0.2500 0.2500 1
Pd1 Pd 0.2500 0.2500 0.7500 1
```

Properties
Its volume is 79 Å³/f.u. The calculation puts the energy above the most stable polymorph in this dataset at 0.0696 eV/atom. The raw total energy comes out at -4.27 eV/atom. The calculation puts the formation energy at -0.523 eV/atom. The magnetization is 0.00 μB per formula unit.

---

First-principles (PBE-GGA) data for an optimized crystal structure of Ac2Ga2Rh3, as listed in the Alexandria database.

```
data_Ac2Ga2Rh3
_cell_length_a 4.3209
_cell_length_b 18.8247
_cell_length_c 7.4716
_cell_angle_alpha 90.00
_cell_angle_beta 90.00
_cell_angle_gamma 90.00
_symmetry_space_group_name_H-M 'C m c m'
_symmetry_Int_Tables_number 63
_symmetry_space_group_name_Hall '-C 2c 2'
loop_
_atom_site_label
_atom_site_type_symbol
_atom_site_fract_x
_atom_site_fract_y
_atom_site_fract_z
_atom_site_occupancy
Ac1 Ac 0.0000 0.0628 0.2500 1
Ac2 Ac 0.0000 0.1503 0.7500 1
Ga1 Ga 0.0000 0.3074 0.5595 1
Rh1 Rh 0.0000 0.2253 0.2500 1
Rh2 Rh 0.0000 0.4360 0.0648 1
```

Properties
Its volume is 152 Å³/f.u. The calculation puts the energy above the most stable polymorph in this dataset at 0.0000 eV/atom. The raw total energy comes out at -5.88 eV/atom. The calculation puts the formation energy at -0.695 eV/atom. The magnetization is 0.00 μB per formula unit.

---

First-principles (PBE-GGA) data for an optimized crystal structure of CeSn2Rh3, as listed in the Alexandria database.

```
data_CeSn2Rh3
_cell_length_a 17.8125
_cell_length_b 4.2229
_cell_length_c 9.9563
_cell_angle_alpha 90.00
_cell_angle_beta 106.11
_cell_angle_gamma 90.00
_symmetry_space_group_name_H-M 'C 1 2/m 1'
_symmetry_Int_Tables_number 12
_symmetry_space_group_name_Hall '-C 2y'
loop_
_atom_site_label
_atom_site_type_symbol
_atom_site_fract_x
_atom_site_fract_y
_atom_site_fract_z
_atom_site_occupancy
Ce1 Ce 0.0000 0.0000 0.0000 1
Ce2 Ce 0.1770 0.0000 0.7171 1
Sn1 Sn 0.0442 0.5000 0.7769 1
Sn2 Sn 0.1371 0.5000 0.4486 1
Sn3 Sn 0.1848 0.0000 0.1190 1
Rh1 Rh 0.0000 0.5000 0.5000 1
Rh2 Rh 0.0438 0.0000 0.3284 1
Rh3 Rh 0.1020 0.5000 0.1692 1
Rh4 Rh 0.1840 0.5000 0.9508 1
Rh5 Rh 0.2167 0.0000 0.3947 1
```

Properties
Its volume is 120 Å³/f.u. The raw total energy comes out at -6.59 eV/atom. The calculation puts the formation energy at -0.594 eV/atom. The magnetization is 0.33 μB per formula unit.

---

First-principles (PBE-GGA) data for an optimized crystal structure of Ta5Nb4Sn2, as listed in the Alexandria database.

```
data_Ta5Nb4Sn2
_cell_length_a 2.9495
_cell_length_b 7.3335
_cell_length_c 9.8420
_cell_angle_alpha 89.86
_cell_angle_beta 82.39
_cell_angle_gamma 82.22
_symmetry_space_group_name_H-M 'P -1'
_symmetry_Int_Tables_number 2
_symmetry_space_group_name_Hall '-P 1'
loop_
_atom_site_label
_atom_site_type_symbol
_atom_site_fract_x
_atom_site_fract_y
_atom_site_fract_z
_atom_site_occupancy
Ta1 Ta 0.0000 0.0000 0.0000 1
Ta2 Ta 0.1733 0.3628 0.0932 1
Ta3 Ta 0.3185 0.5611 0.6476 1
Nb1 Nb 0.3633 0.7228 0.1711 1
Nb2 Nb 0.4866 0.9165 0.7285 1
Sn1 Sn 0.1026 0.2071 0.5557 1
```

Properties
Its volume is 209 Å³/f.u. The raw total energy comes out at -9.79 eV/atom. The calculation puts the formation energy at -0.015 eV/atom. The magnetization is 0.00 μB per formula unit.

---

First-principles (PBE-GGA) data for an optimized crystal structure of La2YZnC, as listed in the Alexandria database.

```
data_La2YZnC
_cell_length_a 5.2336
_cell_length_b 5.2336
_cell_length_c 4.8505
_cell_angle_alpha 90.00
_cell_angle_beta 90.00
_cell_angle_gamma 90.00
_symmetry_space_group_name_H-M 'P 4/m m m'
_symmetry_Int_Tables_number 123
_symmetry_space_group_name_Hall '-P 4 2'
loop_
_atom_site_label
_atom_site_type_symbol
_atom_site_fract_x
_atom_site_fract_y
_atom_site_fract_z
_atom_site_occupancy
La1 La 0.0000 0.5000 0.0000 1
Y1 Y 0.0000 0.0000 0.5000 1
Zn1 Zn 0.5000 0.5000 0.5000 1
C1 C 0.0000 0.0000 0.0000 1
```

Properties
Its volume is 133 Å³/f.u. The raw total energy comes out at -5.49 eV/atom. The calculation puts the formation energy at -0.129 eV/atom. The magnetization is 0.00 μB per formula unit.

---

First-principles (PBE-GGA) data for an optimized crystal structure of Ti2CuNiPt2, as listed in the Alexandria database.

```
data_Ti2CuNiPt2
_cell_length_a 14.4796
_cell_length_b 5.1775
_cell_length_c 5.1777
_cell_angle_alpha 90.00
_cell_angle_beta 110.89
_cell_angle_gamma 90.00
_symmetry_space_group_name_H-M 'C 1 2/c 1'
_symmetry_Int_Tables_number 15
_symmetry_space_group_name_Hall '-C 2yc'
loop_
_atom_site_label
_atom_site_type_symbol
_atom_site_fract_x
_atom_site_fract_y
_atom_site_fract_z
_atom_site_occupancy
Ti1 Ti 0.1731 0.2246 0.1727 1
Cu1 Cu 0.0000 0.9999 0.2500 1
Ni1 Ni 0.0000 0.4998 0.2500 1
Pt1 Pt 0.1384 0.2680 0.6380 1
```

Properties
Its volume is 91 Å³/f.u. The raw total energy comes out at -6.86 eV/atom. The calculation puts the formation energy at -0.565 eV/atom. The magnetization is 0.00 μB per formula unit.

---

Which formula does entry 4 have? TaHgAs2